No. 1
DFT (PBE-GGA) results for crystalline HfUTcNi at its relaxed geometry.

Calculated values
Space-group type   No. 216
Density   13.33 g cm⁻³
Formation energy from the elements   -0.142 eV/atom
N(E_F)   4.7 states/eV/cell
Final energy   -38.0 eV/cell

a = 4.656 Å, b = 4.656 Å, c = 4.656 Å
α = 60.00°, β = 60.00°, γ = 60.00°
Positions (direct):
Hf 0.000 0.000 0.000
U 0.500 0.500 0.500
Tc 0.250 0.250 0.250
Ni 0.750 0.750 0.750

---

No. 2
DFT (PBE-GGA) results for crystalline HfVTcNi at its relaxed geometry.

Calculated values
Space-group type   No. 216
Density   10.65 g cm⁻³
Formation energy from the elements   -0.254 eV/atom
N(E_F)   4.5 states/eV/cell
Final energy   -36.2 eV/cell

a = 4.400 Å, b = 4.400 Å, c = 4.400 Å
α = 60.00°, β = 60.00°, γ = 60.00°
Positions (direct):
Hf 0.000 0.000 0.000
V 0.500 0.500 0.500
Tc 0.250 0.250 0.250
Ni 0.750 0.750 0.750

---

No. 3
DFT (PBE-GGA) results for crystalline YHfTcNi at its relaxed geometry.

Calculated values
Space-group type   No. 216
Density   9.69 g cm⁻³
Formation energy from the elements   -0.264 eV/atom
N(E_F)   2.4 states/eV/cell
Final energy   -33.6 eV/cell

a = 4.685 Å, b = 4.685 Å, c = 4.685 Å
α = 60.00°, β = 60.00°, γ = 60.00°
Positions (direct):
Y 0.000 0.000 0.000
Hf 0.500 0.500 0.500
Tc 0.250 0.250 0.250
Ni 0.750 0.750 0.750